1.
Tb2ErO4 PBE relaxed; density = 8.6 g/cm³; formation energy from raw total energies = -3217 meV per atom; symmetry = C2/m
1.0
5.869 -1.723 0.000
5.869 1.723 0.000
-2.726 0.000 5.233
Tb Er O
2 1 4
Direct
0.198 0.198 0.197
0.802 0.802 0.803
0.500 0.500 0.500
0.143 0.143 0.521
0.368 0.368 0.078
0.632 0.632 0.922
0.857 0.857 0.479

=====

2.
LaMgGa PBE relaxed; final energy = -8.96 eV/cell; density = 4.1 g/cm³; symmetry = F-43m
1.0
0.000 3.604 3.604
3.604 0.000 3.604
3.604 3.604 0.000
La Mg Ga
1 1 1
Direct
0.000 0.000 0.000
0.750 0.750 0.750
0.250 0.250 0.250